Compound: La4Nd2ErMg
Source: Alexandria via LeMat-Bulk
Functional: PBE-GGA
Structure: optimized geometry

Values from the calculation:
symmetry: No. 123
ΔE_f: 0.00 eV per atom

Unit cell a=5.154 b=5.154 c=10.242 alpha=90.00 beta=90.00 gamma=90.00
Fractional coordinates of all 8 atoms:
La: 0.000 0.500 0.247
La: 0.000 0.500 0.753
La: 0.500 0.000 0.247
La: 0.500 0.000 0.753
Nd: 0.000 0.000 0.000
Nd: 0.500 0.500 0.500
Er: 0.000 0.000 0.500
Mg: 0.500 0.500 0.000

***

Compound: La2Nd6Er3Mg
Source: Alexandria via LeMat-Bulk
Functional: PBE-GGA
Structure: optimized geometry

Values from the calculation:
symmetry: No. 71
ΔE_f: 0.02 eV per atom

Unit cell a=9.583 b=9.583 c=9.583 alpha=148.90 beta=116.27 gamma=72.61
Fractional coordinates of all 12 atoms:
La: 0.163 0.163 0.000
La: 0.837 0.837 0.000
Nd: 0.089 0.334 0.755
Nd: 0.257 0.000 0.257
Nd: 0.421 0.666 0.755
Nd: 0.579 0.334 0.245
Nd: 0.743 0.000 0.743
Nd: 0.911 0.666 0.245
Er: 0.000 0.500 0.500
Er: 0.330 0.830 0.500
Er: 0.670 0.170 0.500
Mg: 0.500 0.500 0.000

***

Compound: La2ErMgO
Source: Alexandria via LeMat-Bulk
Functional: PBE-GGA
Structure: optimized geometry

Values from the calculation:
symmetry: No. 123
formation energy (no corrections): -1.206 eV per atom

Unit cell a=5.232 b=5.232 c=4.620 alpha=90.00 beta=90.00 gamma=90.00
Fractional coordinates of all 5 atoms:
La: 0.000 0.500 0.000
La: 0.500 0.000 0.000
Er: 0.000 0.000 0.500
Mg: 0.500 0.500 0.500
O: 0.000 0.000 0.000

***

Compound: LaErMgPb
Source: Alexandria via LeMat-Bulk
Functional: PBE-GGA
Structure: optimized geometry

Values from the calculation:
symmetry: No. 216
ΔE_f: -0.31 eV per atom

Unit cell a=5.469 b=5.469 c=5.469 alpha=60.00 beta=60.00 gamma=60.00
Fractional coordinates of all 4 atoms:
La: 0.000 0.000 0.000
Er: 0.500 0.500 0.500
Mg: 0.750 0.750 0.750
Pb: 0.250 0.250 0.250

***

Compound: LaErMgPd
Source: Alexandria via LeMat-Bulk
Functional: PBE-GGA
Structure: optimized geometry

Values from the calculation:
symmetry: No. 216
ΔE_f: -0.36 eV per atom

Unit cell a=5.247 b=5.247 c=5.247 alpha=60.00 beta=60.00 gamma=60.00
Fractional coordinates of all 4 atoms:
La: 0.000 0.000 0.000
Er: 0.500 0.500 0.500
Mg: 0.750 0.750 0.750
Pd: 0.250 0.250 0.250

***

Compound: La2Pm5ErMg
Source: Alexandria via LeMat-Bulk
Functional: PBE-GGA
Structure: optimized geometry

Values from the calculation:
symmetry: No. 36
ΔE_f: 0.08 eV per atom

Unit cell a=10.498 b=10.498 c=10.781 alpha=90.00 beta=90.00 gamma=149.09
Fractional coordinates of all 18 atoms:
La: 0.116 0.884 0.500
La: 0.116 0.884 0.919
La: 0.884 0.116 0.000
La: 0.884 0.116 0.419
Pm: 0.015 0.985 0.209
Pm: 0.287 0.713 0.513
Pm: 0.287 0.713 0.906
Pm: 0.380 0.620 0.209
Pm: 0.500 0.500 0.459
Pm: 0.500 0.500 0.959
Pm: 0.620 0.380 0.709
Pm: 0.713 0.287 0.013
Pm: 0.713 0.287 0.406
Pm: 0.985 0.015 0.709
Er: 0.202 0.798 0.209
Er: 0.798 0.202 0.709
Mg: 0.404 0.596 0.709
Mg: 0.596 0.404 0.209